Record 1
Here is a relaxed TaGeH2 crystal from the Alexandria database. Energies are from PBE.

## Properties
* ρ: 9.643 Mg/m³
* polymorph energy (0 for the lowest one): 0.913 eV per formula unit
* Fermi-level density of states: 3.623 states/eV per cell

Lattice parameters (Å, degrees): 4.8599 4.8599 4.8599 107.51 107.51 113.48
Fractional positions:
Ta 0.0000 0.0000 0.0000
Ta 0.7500 0.2500 0.5000
Ge 0.2500 0.7500 0.5000
Ge 0.5000 0.5000 0.0000
H 0.0465 0.1250 0.4215
H 0.3750 0.9535 0.0785
H 0.7035 0.6250 0.5785
H 0.8750 0.2965 0.9215

---

Record 2
Here is a relaxed TaGeH3 crystal from the Alexandria database. Energies are from PBE.

## Properties
* ρ: 8.780 Mg/m³
* polymorph energy (0 for the lowest one): 0.000 eV per formula unit
* Fermi-level density of states: 1.848 states/eV per cell

Lattice parameters (Å, degrees): 3.6477 3.6477 3.6477 90.00 90.00 90.00
Fractional positions:
Ta 0.0000 0.0000 0.0000
Ge 0.5000 0.5000 0.5000
H 0.0000 0.0000 0.5000
H 0.0000 0.5000 0.0000
H 0.5000 0.0000 0.0000

---

Record 3
Here is a relaxed Ta2GeH2 crystal from the Alexandria database. Energies are from PBE.

## Properties
* ρ: 12.766 Mg/m³
* polymorph energy (0 for the lowest one): 0.000 eV per formula unit
* Fermi-level density of states: 3.539 states/eV per cell

Lattice parameters (Å, degrees): 5.8689 5.8689 5.8689 147.93 147.93 45.99
Fractional positions:
Ta 0.1354 0.1354 0.0000
Ta 0.8646 0.8646 0.0000
Ge 0.5000 0.5000 0.0000
H 0.2500 0.7500 0.5000
H 0.7500 0.2500 0.5000

---

Record 4
Here is a relaxed Ta2GeH crystal from the Alexandria database. Energies are from PBE.

## Properties
* ρ: 13.060 Mg/m³
* polymorph energy (0 for the lowest one): 0.000 eV per formula unit
* Fermi-level density of states: 1.788 states/eV per cell

Lattice parameters (Å, degrees): 4.8253 4.8253 4.8253 145.24 118.37 72.74
Fractional positions:
Ta 0.1826 0.1826 0.0000
Ta 0.8174 0.8174 0.0000
Ge 0.5000 0.0000 0.5000
H 0.0000 0.5000 0.5000

---

Record 5
Here is a relaxed TaGeH2 crystal from the Alexandria database. Energies are from PBE.

## Properties
* ρ: 9.978 Mg/m³
* polymorph energy (0 for the lowest one): 0.000 eV per formula unit
* Fermi-level density of states: 2.599 states/eV per cell

Lattice parameters (Å, degrees): 5.2390 5.2390 5.4096 90.00 90.00 145.04
Fractional positions:
Ta 0.2306 0.7694 0.7500
Ta 0.7694 0.2306 0.2500
Ge 0.0465 0.9535 0.2500
Ge 0.9535 0.0465 0.7500
H 0.3286 0.6714 0.0607
H 0.3286 0.6714 0.4393
H 0.6714 0.3286 0.5607
H 0.6714 0.3286 0.9393

---

Record 6
Here is a relaxed TaGeH2 crystal from the Alexandria database. Energies are from PBE.

## Properties
* ρ: 10.495 Mg/m³
* polymorph energy (0 for the lowest one): 3.126 eV per formula unit
* Fermi-level density of states: 3.119 states/eV per cell

Lattice parameters (Å, degrees): 3.8529 3.8529 3.8529 60.00 60.00 60.00
Fractional positions:
Ta 0.0000 0.0000 0.0000
Ge 0.5000 0.5000 0.5000
H 0.2500 0.2500 0.2500
H 0.7500 0.7500 0.7500

---

> Which value of Fermi-level density of states does entry 6 give?

3.119 states/eV per cell